Entry 1:
The following is a DFT calculation (PBE-GGA) of a relaxed TiCdNO2 crystal.

Raw formation energy ... 0.482 eV/atom

Cell and atoms, written as CIF:
```
data_TiCdNO2
_chemical_formula_sum 'Ti1 Cd1 N1 O2'
_symmetry_space_group_name_H-M 'P 4/m m m'
_symmetry_Int_Tables_number 123
_symmetry_space_group_name_Hall '-P 4 2'
_cell_length_a 4.051
_cell_length_b 4.051
_cell_length_c 4.148
_cell_angle_alpha 90.00
_cell_angle_beta 90.00
_cell_angle_gamma 90.00
loop_
_atom_site_label
_atom_site_type_symbol
_atom_site_fract_x
_atom_site_fract_y
_atom_site_fract_z
_atom_site_occupancy
Ti1 Ti 0.000 0.000 0.000 1
Cd1 Cd 0.500 0.500 0.500 1
N1 N 0.500 0.500 0.000 1
O1 O 0.000 0.500 0.500 1
```


Entry 2:
The following is a DFT calculation (PBE-GGA) of a relaxed Er4TlRh crystal.

Energy above the most stable polymorph in this dataset ... 0.00 eV/f.u.
Calculated formation energy ... -0.52 eV per atom

Cell and atoms, written as CIF:
```
data_Er4TlRh
_chemical_formula_sum 'Er64 Tl16 Rh16'
_symmetry_space_group_name_H-M 'F -4 3 m'
_symmetry_Int_Tables_number 216
_symmetry_space_group_name_Hall 'F -4 2 3'
_cell_length_a 13.556
_cell_length_b 13.556
_cell_length_c 13.556
_cell_angle_alpha 90.00
_cell_angle_beta 90.00
_cell_angle_gamma 90.00
loop_
_atom_site_label
_atom_site_type_symbol
_atom_site_fract_x
_atom_site_fract_y
_atom_site_fract_z
_atom_site_occupancy
Er1 Er 0.000 0.000 0.189 1
Er2 Er 0.061 0.250 0.250 1
Er3 Er 0.100 0.100 0.600 1
Tl1 Tl 0.164 0.164 0.836 1
Rh1 Rh 0.108 0.108 0.392 1
```


Entry 3:
The following is a DFT calculation (PBE-GGA) of a relaxed Y3Ga9Tc2 crystal.

Calculated formation energy ... -0.50 eV per atom

Cell and atoms, written as CIF:
```
data_Y3Ga9Tc2
_chemical_formula_sum 'Y6 Ga18 Tc4'
_symmetry_space_group_name_H-M 'I m m m'
_symmetry_Int_Tables_number 71
_symmetry_space_group_name_Hall '-I 2 2'
_cell_length_a 4.249
_cell_length_b 9.456
_cell_length_c 12.713
_cell_angle_alpha 90.00
_cell_angle_beta 90.00
_cell_angle_gamma 90.00
loop_
_atom_site_label
_atom_site_type_symbol
_atom_site_fract_x
_atom_site_fract_y
_atom_site_fract_z
_atom_site_occupancy
Y1 Y 0.000 0.000 0.000 1
Y2 Y 0.000 0.000 0.300 1
Ga1 Ga 0.000 0.284 0.132 1
Ga2 Ga 0.000 0.364 0.347 1
Ga3 Ga 0.000 0.500 0.000 1
Tc1 Tc 0.000 0.176 0.500 1
```


Entry 4:
The following is a DFT calculation (PBE-GGA) of a relaxed AcZn11 crystal.

Calculated formation energy ... -0.20 eV per atom

Cell and atoms, written as CIF:
```
data_AcZn11
_chemical_formula_sum 'Ac4 Zn44'
_symmetry_space_group_name_H-M 'I 41/a m d'
_symmetry_Int_Tables_number 141
_cell_length_a 10.743
_cell_length_b 10.743
_cell_length_c 7.009
_cell_angle_alpha 90.00
_cell_angle_beta 90.00
_cell_angle_gamma 90.00
loop_
_symmetry_equiv_pos_as_xyz
'x,y,z'
'-x,-y,-z'
'-y+1/4,x+3/4,z+1/4'
'y+1/4,-x+3/4,-z+1/4'
'-x+1/2,-y,z+1/2'
'x+1/2,y,-z+1/2'
'y+1/4,-x+1/4,z+3/4'
'-y+1/4,x+1/4,-z+3/4'
'x,-y,-z'
'-x,y,z'
'-y+1/4,-x+1/4,-z+3/4'
'y+1/4,x+1/4,z+3/4'
'-x+1/2,y,-z+1/2'
'x+1/2,-y,z+1/2'
'y+1/4,x+3/4,-z+1/4'
'-y+1/4,-x+3/4,z+1/4'
'x+1/2,y+1/2,z+1/2'
'-x+1/2,-y+1/2,-z+1/2'
'-y+3/4,x+1/4,z+3/4'
'y+3/4,-x+1/4,-z+3/4'
'-x,-y+1/2,z'
'x,y+1/2,-z'
'y+3/4,-x+3/4,z+1/4'
'-y+3/4,x+3/4,-z+1/4'
'x+1/2,-y+1/2,-z+1/2'
'-x+1/2,y+1/2,z+1/2'
'-y+3/4,-x+3/4,-z+1/4'
'y+3/4,x+3/4,z+1/4'
'-x,y+1/2,-z'
'x,-y+1/2,z'
'y+3/4,x+1/4,-z+3/4'
'-y+3/4,-x+1/4,z+3/4'
loop_
_atom_site_label
_atom_site_type_symbol
_atom_site_fract_x
_atom_site_fract_y
_atom_site_fract_z
_atom_site_occupancy
Ac1 Ac 0.000 0.250 0.375 1
Zn1 Zn 0.000 0.000 0.000 1
Zn2 Zn 0.000 0.250 0.875 1
Zn3 Zn 0.123 0.044 0.680 1
```


| no. | M_tot (μB per formula unit) | DOS at the Fermi energy (states/eV/f.u.) |
| --- | --- | --- |
| 1 | 0.31 | 3.46 |
| 2 | 0.00 | 3.49 |
| 3 | 0.00 | 8.31 |
| 4 | 0.00 | 4.27 |